No. 1
Entry from Alexandria via LeMat-Bulk: a relaxed ZrNpTe3 crystal (PBE).

Its distance to the lowest polymorph of the same formula is 154 meV/atom. The formation energy from raw total energies is -0.568 eV per atom. The calculation puts the density of states at the Fermi level at 2.281 states/eV per atom.

a = 7.0352 Å, b = 7.0352 Å, c = 23.1891 Å
α = 90.00°, β = 90.00°, γ = 120.00°
Space group R32 (No. 155, hexagonal axes)
Unique sites:
Zr (0.0000, 0.0000, 0.1687) (multiplicity 6)
Np (0.0000, 0.0000, 0.3349) (multiplicity 6)
Te (0.0012, 0.3476, 0.5792) (multiplicity 18)


No. 2
Entry from Alexandria via LeMat-Bulk: a relaxed ZrNiC2Se crystal (PBE).

The formation energy from raw total energies is 1.738 eV per atom. The calculation puts the density of states at the Fermi level at 1.161 states/eV per atom.

a = 4.249 Å, b = 4.249 Å, c = 5.321 Å
α = 90.00°, β = 90.00°, γ = 90.00°
Space group P4/mmm (No. 123)
Unique sites:
Zr (0.000, 0.000, 0.000) (multiplicity 1)
Ni (0.500, 0.500, 0.500) (multiplicity 1)
C (0.000, 0.500, 0.000) (multiplicity 2)
Se (0.000, 0.000, 0.500) (multiplicity 1)


- Which of these has the highest formation energy from raw total energies?
  ZrNiC2Se